1.
Material: LiSiTcSe2
Method: DFT, PBE
State: optimized geometry

Properties
Space group: No. 123
Volume: 23.6 Å³ per atom
Total energy: -23.7 eV/cell
Raw formation energy: 0.192 eV per atom

abc: 5.0660 4.5920 5.0660
angles: 90.00 90.00 90.00
Positions (direct):
Si 0.0000 0.5000 0.0000
Tc 0.0000 0.0000 0.0000
Se 0.0000 0.0000 0.5000
Se 0.5000 0.0000 0.0000
Li 0.5000 0.5000 0.5000

=====

2.
Material: KMgRu2
Method: DFT, PBE
State: optimized geometry

Properties
Space group: No. 216
Volume: 18.0 Å³ per atom
Total energy: -17.2 eV/cell
Energy of formation: 1.006 eV per atom

abc: 4.6736 4.6736 4.6736
angles: 60.00 60.00 60.00
Positions (direct):
K 0.5000 0.5000 0.5000
Mg 0.7500 0.7500 0.7500
Ru 0.0000 0.0000 0.0000
Ru 0.2500 0.2500 0.2500

=====

3.
Material: TlPdPb6
Method: DFT, PBE
State: optimized geometry

Properties
Space group: No. 123
Volume: 31.7 Å³ per atom
Total energy: -29.9 eV/cell
Energy of formation: -0.005 eV per atom

abc: 4.7943 4.7943 11.0466
angles: 90.00 90.00 90.00
Positions (direct):
Tl 0.0000 0.0000 0.0000
Pd 0.0000 0.0000 0.5000
Pb 0.5000 0.0000 0.6566
Pb 0.0000 0.5000 0.6566
Pb 0.5000 0.5000 0.1432
Pb 0.5000 0.5000 0.8568
Pb 0.0000 0.5000 0.3434
Pb 0.5000 0.0000 0.3434